one) The following is a GGA-PBE calculation of a relaxed structure of PPb3, from Alexandria via LeMat-Bulk.

Geometry as POSCAR:
```
PPb3
1.0
1.937 -3.354 0.000
1.937 3.354 0.000
0.000 0.000 8.999
P Pb
1 3
direct
0.000 0.000 0.000
0.000 0.000 0.500
0.667 0.333 0.200
0.667 0.333 0.800
```

## Properties
For the density of states at the Fermi level, the calculation gives 0.4594 states/eV/atom. The density is 9.3 g/cm3.


two) The following is a GGA-PBE calculation of a relaxed structure of PPb3, from Alexandria via LeMat-Bulk.

Geometry as POSCAR:
```
PPb3
1.0
3.985 4.931 3.245
-4.914 -0.793 5.094
2.679 -3.506 2.038
P Pb
2 6
direct
0.485 0.515 0.250
0.515 0.485 0.750
0.893 0.107 0.750
0.107 0.893 0.250
0.899 0.603 0.750
0.101 0.397 0.250
0.397 0.101 0.750
0.603 0.899 0.250
```

## Properties
For the density of states at the Fermi level, the calculation gives 0.3200 states/eV/atom. The density is 8.9 g/cm3.


What should be chosen as the most stable of them? Choose one).


one) The following is a GGA-PBE calculation of a relaxed structure of PPb3, from Alexandria via LeMat-Bulk.

Geometry as POSCAR:
```
PPb3
1.0
0.000 3.785 3.785
3.785 0.000 3.785
3.785 3.785 0.000
P Pb
1 3
direct
0.000 0.000 0.000
0.250 0.250 0.250
0.500 0.500 0.500
0.750 0.750 0.750
```

## Properties
For the density of states at the Fermi level, the calculation gives 0.6311 states/eV/atom. The density is 10.0 g/cm3.


two) The following is a GGA-PBE calculation of a relaxed structure of PPb3, from Alexandria via LeMat-Bulk.

Geometry as POSCAR:
```
PPb3
1.0
4.176 0.000 0.000
0.000 5.128 0.000
0.000 0.000 5.598
Pb P
3 1
direct
0.500 0.128 0.000
0.500 0.472 0.500
0.000 0.964 0.500
0.000 0.769 0.000
```

## Properties
For the density of states at the Fermi level, the calculation gives 0.5336 states/eV/atom. The density is 9.0 g/cm3.


three) The following is a GGA-PBE calculation of a relaxed structure of PPb3, from Alexandria via LeMat-Bulk.

Geometry as POSCAR:
```
PPb3
1.0
3.384 -5.871 0.000
3.384 5.871 0.000
0.000 0.000 5.686
P Pb
2 6
direct
0.619 0.381 0.250
0.381 0.619 0.750
0.152 0.848 0.250
0.848 0.152 0.750
0.642 0.831 0.250
0.358 0.169 0.750
0.831 0.642 0.750
0.169 0.358 0.250
```

## Properties
For the density of states at the Fermi level, the calculation gives 0.4576 states/eV/atom. The density is 9.6 g/cm3.


four) The following is a GGA-PBE calculation of a relaxed structure of PPb3, from Alexandria via LeMat-Bulk.

Geometry as POSCAR:
```
PPb3
1.0
6.077 0.000 0.000
0.000 6.077 0.000
0.000 0.000 6.077
P Pb
2 6
direct
0.000 0.000 0.000
0.500 0.500 0.500
0.750 0.500 0.000
0.250 0.500 0.000
0.000 0.750 0.500
0.000 0.250 0.500
0.500 0.000 0.250
0.500 0.000 0.750
```

## Properties
For the density of states at the Fermi level, the calculation gives 0.4448 states/eV/atom. The density is 9.7 g/cm3.


What should be chosen as the most stable of them? Choose two).


one) The following is a GGA-PBE calculation of a relaxed structure of P5Pb, from Alexandria via LeMat-Bulk.

Geometry as POSCAR:
```
P5Pb
1.0
0.060 0.194 -6.144
-3.160 -4.401 2.906
-2.687 1.953 0.036
P Pb
5 1
direct
0.421 0.000 0.000
0.579 0.579 0.000
0.000 0.421 0.000
0.667 0.333 0.500
0.333 0.667 0.500
0.000 0.000 0.500
```

## Properties
For the density of states at the Fermi level, the calculation gives 0.5811 states/eV/atom. The density is 5.5 g/cm3.


two) The following is a GGA-PBE calculation of a relaxed structure of P5Pb, from Alexandria via LeMat-Bulk.

Geometry as POSCAR:
```
P5Pb
1.0
-1.931 -1.872 1.605
-0.285 -1.855 -2.507
9.645 -6.662 3.833
P Pb
5 1
direct
0.000 0.000 0.697
0.000 0.000 0.303
0.500 0.500 0.755
0.500 0.500 0.245
0.000 0.000 0.500
0.500 0.500 0.000
```

## Properties
For the density of states at the Fermi level, the calculation gives 0.4226 states/eV/atom. The density is 5.0 g/cm3.


What should be chosen as the most stable of them? Choose two).


one) The following is a GGA-PBE calculation of a relaxed structure of P5Pb, from Alexandria via LeMat-Bulk.

Geometry as POSCAR:
```
P5Pb
1.0
1.632 -7.681 0.000
1.632 7.681 0.000
0.000 0.000 4.875
P Pb
5 1
direct
0.980 0.020 0.000
0.376 0.624 0.000
0.752 0.248 0.000
0.373 0.627 0.500
0.775 0.225 0.500
0.077 0.923 0.500
```

## Properties
For the density of states at the Fermi level, the calculation gives 0.3220 states/eV/atom. The density is 4.9 g/cm3.


two) The following is a GGA-PBE calculation of a relaxed structure of P5Pb, from Alexandria via LeMat-Bulk.

Geometry as POSCAR:
```
P5Pb
1.0
2.943 -6.060 1.586
4.696 -3.843 3.328
-3.520 -1.297 5.193
P Pb
5 1
direct
0.972 0.972 0.021
0.284 0.284 0.500
0.680 0.680 0.611
0.609 0.609 0.315
0.993 0.993 0.352
0.295 0.295 0.034
```

## Properties
For the density of states at the Fermi level, the calculation gives 0.2124 states/eV/atom. The density is 4.2 g/cm3.


What should be chosen as the most stable of them? Choose two).


one) The following is a GGA-PBE calculation of a relaxed structure of PPb2, from Alexandria via LeMat-Bulk.

Geometry as POSCAR:
```
PPb2
1.0
-1.837 1.837 12.557
1.837 -1.837 12.557
1.837 1.837 -12.557
P Pb
2 4
direct
0.000 0.000 0.000
0.750 0.250 0.500
0.563 0.563 0.000
0.187 0.687 0.500
0.437 0.437 0.000
0.313 0.813 0.500
```

## Properties
For the density of states at the Fermi level, the calculation gives 0.3728 states/eV/atom. The density is 8.7 g/cm3.


two) The following is a GGA-PBE calculation of a relaxed structure of PPb2, from Alexandria via LeMat-Bulk.

Geometry as POSCAR:
```
PPb2
1.0
-1.346 2.273 7.939
-0.864 -8.009 -2.262
6.231 -1.056 1.358
Pb P
8 4
direct
0.000 0.000 0.000
0.000 0.000 0.500
0.802 0.605 0.250
0.198 0.395 0.750
0.395 0.198 0.250
0.802 0.198 0.250
0.198 0.802 0.750
0.605 0.802 0.750
0.333 0.667 0.088
0.667 0.333 0.588
0.667 0.333 0.912
0.333 0.667 0.412
```

## Properties
For the density of states at the Fermi level, the calculation gives 0.7388 states/eV/atom. The density is 7.5 g/cm3.


What should be chosen as the most stable of them? Choose one).


one) The following is a GGA-PBE calculation of a relaxed structure of P2Pb, from Alexandria via LeMat-Bulk.

Geometry as POSCAR:
```
P2Pb
1.0
-1.648 2.244 5.562
-5.255 0.388 3.305
3.908 -3.377 -3.467
P Pb
2 1
direct
0.279 0.279 0.000
0.721 0.721 0.000
0.000 0.000 0.000
```

## Properties
For the density of states at the Fermi level, the calculation gives 0.5105 states/eV/atom. The density is 7.2 g/cm3.


two) The following is a GGA-PBE calculation of a relaxed structure of P2Pb, from Alexandria via LeMat-Bulk.

Geometry as POSCAR:
```
P2Pb
1.0
1.642 4.893 0.007
-1.642 4.893 0.007
0.000 0.097 8.844
P Pb
4 2
direct
0.244 0.244 0.082
0.756 0.756 0.918
0.173 0.173 0.503
0.827 0.827 0.497
0.499 0.499 0.738
0.501 0.501 0.262
```

## Properties
For the density of states at the Fermi level, the calculation gives 0.5137 states/eV/atom. The density is 6.3 g/cm3.


What should be chosen as the most stable of them? Choose two).


one) The following is a GGA-PBE calculation of a relaxed structure of P2Pb, from Alexandria via LeMat-Bulk.

Geometry as POSCAR:
```
P2Pb
1.0
-5.361 -1.456 -0.352
-3.506 1.269 4.133
-3.899 3.900 -0.757
P Pb
4 2
direct
0.625 0.125 0.125
0.125 0.625 0.125
0.125 0.125 0.625
0.125 0.125 0.125
0.500 0.500 0.500
0.750 0.750 0.750
```

## Properties
For the density of states at the Fermi level, the calculation gives 0.8195 states/eV/atom. The density is 7.3 g/cm3.


two) The following is a GGA-PBE calculation of a relaxed structure of P2Pb, from Alexandria via LeMat-Bulk.

Geometry as POSCAR:
```
P2Pb
1.0
4.734 0.000 0.000
-2.367 3.376 -0.112
0.000 -0.204 4.244
P Pb
2 1
direct
0.651 0.302 0.438
0.349 0.698 0.562
0.000 0.000 0.000
```

## Properties
For the density of states at the Fermi level, the calculation gives 0.4119 states/eV/atom. The density is 6.6 g/cm3.


What should be chosen as the most stable of them? Choose two).


one) The following is a GGA-PBE calculation of a relaxed structure of P2Pb, from Alexandria via LeMat-Bulk.

Geometry as POSCAR:
```
P2Pb
1.0
1.646 2.977 6.828
-2.512 -5.431 -4.732
5.068 -2.064 -0.322
P Pb
4 2
direct
0.801 0.199 0.750
0.402 0.598 0.750
0.199 0.801 0.250
0.598 0.402 0.250
0.111 0.889 0.750
0.889 0.111 0.250
```

## Properties
For the density of states at the Fermi level, the calculation gives 0.3289 states/eV/atom. The density is 6.6 g/cm3.


two) The following is a GGA-PBE calculation of a relaxed structure of P2Pb, from Alexandria via LeMat-Bulk.

Geometry as POSCAR:
```
P2Pb
1.0
3.427 0.000 0.000
0.000 3.427 0.000
0.000 0.000 5.506
P Pb
2 1
direct
0.000 0.500 0.500
0.500 0.000 0.500
0.000 0.000 0.000
```

## Properties
For the density of states at the Fermi level, the calculation gives 0.3634 states/eV/atom. The density is 6.9 g/cm3.


three) The following is a GGA-PBE calculation of a relaxed structure of P2Pb, from Alexandria via LeMat-Bulk.

Geometry as POSCAR:
```
P2Pb
1.0
-3.131 5.195 -2.955
-3.445 -4.294 -3.899
-4.883 -0.301 4.645
Pb P
4 8
direct
0.000 0.000 0.000
0.500 0.500 0.000
0.500 0.000 0.500
0.000 0.500 0.500
0.589 0.589 0.411
0.411 0.411 0.589
0.089 0.911 0.589
0.911 0.089 0.411
0.411 0.089 0.089
0.589 0.911 0.911
0.911 0.411 0.911
0.089 0.589 0.089
```

## Properties
For the density of states at the Fermi level, the calculation gives 1.0566 states/eV/atom. The density is 5.8 g/cm3.


What should be chosen as the most stable of them? Choose one).


one) The following is a GGA-PBE calculation of a relaxed structure of P2Pb, from Alexandria via LeMat-Bulk.

Geometry as POSCAR:
```
P2Pb
1.0
2.503 -4.335 0.000
2.503 4.335 0.000
0.000 0.000 5.763
P Pb
4 2
direct
0.000 0.000 0.000
0.000 0.000 0.500
0.333 0.667 0.750
0.667 0.333 0.250
0.333 0.667 0.250
0.667 0.333 0.750
```

## Properties
For the density of states at the Fermi level, the calculation gives 1.0166 states/eV/atom. The density is 7.1 g/cm3.


two) The following is a GGA-PBE calculation of a relaxed structure of P2Pb, from Alexandria via LeMat-Bulk.

Geometry as POSCAR:
```
P2Pb
1.0
-8.277 2.098 3.154
-7.699 -0.748 4.798
-0.165 2.735 4.792
P Pb
4 2
direct
0.244 0.244 0.526
0.652 0.652 0.653
0.626 0.626 0.292
0.033 0.033 0.419
0.967 0.967 0.005
0.311 0.311 0.939
```

## Properties
For the density of states at the Fermi level, the calculation gives 0.2322 states/eV/atom. The density is 6.1 g/cm3.


What should be chosen as the most stable of them? Choose two).


one) The following is a GGA-PBE calculation of a relaxed structure of P2Pb, from Alexandria via LeMat-Bulk.

Geometry as POSCAR:
```
P2Pb
1.0
-0.025 -1.366 3.084
2.852 1.299 -1.246
-1.562 5.946 2.621
P Pb
2 1
direct
0.667 0.333 0.591
0.333 0.667 0.409
0.000 0.000 0.000
```

## Properties
For the density of states at the Fermi level, the calculation gives 0.5344 states/eV/atom. The density is 6.8 g/cm3.


two) The following is a GGA-PBE calculation of a relaxed structure of P2Pb, from Alexandria via LeMat-Bulk.

Geometry as POSCAR:
```
P2Pb
1.0
4.211 0.000 0.000
0.000 5.379 0.000
0.000 0.000 6.909
P Pb
4 2
direct
0.000 0.151 0.593
0.000 0.849 0.407
0.500 0.651 0.907
0.500 0.349 0.093
0.000 0.000 0.000
0.500 0.500 0.500
```

## Properties
For the density of states at the Fermi level, the calculation gives 0.4536 states/eV/atom. The density is 5.7 g/cm3.


three) The following is a GGA-PBE calculation of a relaxed structure of P2Pb, from Alexandria via LeMat-Bulk.

Geometry as POSCAR:
```
P2Pb
1.0
4.535 -7.855 0.000
4.535 7.855 0.000
0.000 0.000 3.337
P Pb
6 3
direct
0.298 0.000 0.000
0.000 0.298 0.000
0.702 0.702 0.000
0.461 0.000 0.500
0.000 0.461 0.500
0.539 0.539 0.500
0.333 0.667 0.000
0.667 0.333 0.000
0.000 0.000 0.500
```

## Properties
For the density of states at the Fermi level, the calculation gives 0.4339 states/eV/atom. The density is 5.6 g/cm3.


What should be chosen as the most stable of them? Choose one).


one) The following is a GGA-PBE calculation of a relaxed structure of P2Pb, from Alexandria via LeMat-Bulk.

Geometry as POSCAR:
```
P2Pb
1.0
-2.124 2.124 7.331
2.124 -2.124 7.331
2.124 2.124 -7.331
P Pb
4 2
direct
0.580 0.580 0.000
0.170 0.670 0.500
0.420 0.420 0.000
0.330 0.830 0.500
0.000 0.000 0.000
0.750 0.250 0.500
```

## Properties
For the density of states at the Fermi level, the calculation gives 0.4551 states/eV/atom. The density is 6.8 g/cm3.


two) The following is a GGA-PBE calculation of a relaxed structure of P2Pb, from Alexandria via LeMat-Bulk.

Geometry as POSCAR:
```
P2Pb
1.0
-3.037 3.037 3.780
3.037 -3.037 3.780
3.037 3.037 -3.780
P Pb
4 2
direct
0.380 0.880 0.261
0.620 0.120 0.739
0.120 0.380 0.500
0.880 0.620 0.500
0.250 0.250 0.000
0.750 0.750 0.000
```

## Properties
For the density of states at the Fermi level, the calculation gives 0.3463 states/eV/atom. The density is 6.4 g/cm3.


three) The following is a GGA-PBE calculation of a relaxed structure of P2Pb, from Alexandria via LeMat-Bulk.

Geometry as POSCAR:
```
P2Pb
1.0
8.723 -0.002 0.000
-8.090 3.262 0.000
0.000 0.000 4.950
P Pb
4 2
direct
0.986 0.014 0.000
0.400 0.600 0.000
0.378 0.622 0.500
0.792 0.208 0.500
0.707 0.293 0.000
0.071 0.929 0.500
```

## Properties
For the density of states at the Fermi level, the calculation gives 0.2265 states/eV/atom. The density is 6.3 g/cm3.


What should be chosen as the most stable of them? Choose three).